Record 1
Gd5Pb4 | PBE | optimized geometry

Cell and atoms, written as CIF:
```
data_Gd5Pb4
_cell_length_a 8.247
_cell_length_b 15.738
_cell_length_c 8.339
_cell_angle_alpha 90.00
_cell_angle_beta 90.00
_cell_angle_gamma 90.00
_symmetry_space_group_name_H-M 'P n m a'
_symmetry_Int_Tables_number 62
loop_
_symmetry_equiv_pos_as_xyz
'x,y,z'
'-x,-y,-z'
'-x+1/2,-y,z+1/2'
'x+1/2,y,-z+1/2'
'x+1/2,-y+1/2,-z+1/2'
'-x+1/2,y+1/2,z+1/2'
'-x,y+1/2,-z'
'x,-y+1/2,z'
loop_
_atom_site_label
_atom_site_fract_x
_atom_site_fract_y
_atom_site_fract_z
Gd1 0.033 0.100 0.177
Gd2 0.124 0.620 0.342
Gd3 0.209 0.250 0.503
Pb1 0.072 0.250 0.876
Pb2 0.156 0.750 0.650
Pb3 0.218 0.043 0.534
```

***

Record 2
GdPb | PBE | optimized geometry

Cell and atoms, written as CIF:
```
data_GdPb
_cell_length_a 3.6648
_cell_length_b 3.6648
_cell_length_c 5.1403
_cell_angle_alpha 90.00
_cell_angle_beta 90.00
_cell_angle_gamma 120.00
_symmetry_space_group_name_H-M 'P -6 m 2'
_symmetry_Int_Tables_number 187
_symmetry_space_group_name_Hall 'P -6 2'
loop_
_atom_site_label
_atom_site_fract_x
_atom_site_fract_y
_atom_site_fract_z
Gd1 0.0000 0.0000 0.0000
Pb1 0.6667 0.3333 0.5000
```

***

Record 3
Gd2PdPb | PBE | optimized geometry

Cell and atoms, written as CIF:
```
data_Gd2PdPb
_cell_length_a 4.491
_cell_length_b 4.106
_cell_length_c 11.464
_cell_angle_alpha 90.00
_cell_angle_beta 90.00
_cell_angle_gamma 90.00
_symmetry_space_group_name_H-M 'A m m 2'
_symmetry_Int_Tables_number 38
loop_
_symmetry_equiv_pos_as_xyz
'x,y,z'
'-x,-y,z'
'-x,y,z'
'x,-y,z'
'x,y+1/2,z+1/2'
'-x,-y+1/2,z+1/2'
'-x,y+1/2,z+1/2'
'x,-y+1/2,z+1/2'
loop_
_atom_site_label
_atom_site_fract_x
_atom_site_fract_y
_atom_site_fract_z
Gd1 0.000 0.000 0.000
Gd2 0.500 0.000 0.287
Pd1 0.500 0.000 0.547
Pb1 0.000 0.000 0.720
```

***

Record 4
GdPdPb | PBE | optimized geometry

Cell and atoms, written as CIF:
```
data_GdPdPb
_cell_length_a 5.1712
_cell_length_b 5.1712
_cell_length_c 6.1710
_cell_angle_alpha 90.00
_cell_angle_beta 90.00
_cell_angle_gamma 120.00
_symmetry_space_group_name_H-M 'P 63/m m c'
_symmetry_Int_Tables_number 194
_symmetry_space_group_name_Hall '-P 6c 2c'
loop_
_atom_site_label
_atom_site_fract_x
_atom_site_fract_y
_atom_site_fract_z
Gd1 0.3333 0.6667 0.2500
Pd1 0.0000 0.0000 0.0000
Pb1 0.3333 0.6667 0.7500
```

***

Record 5
GdPdPb | PBE | optimized geometry

Cell and atoms, written as CIF:
```
data_GdPdPb
_cell_length_a 4.8193
_cell_length_b 4.8193
_cell_length_c 6.9685
_cell_angle_alpha 90.00
_cell_angle_beta 90.00
_cell_angle_gamma 120.00
_symmetry_space_group_name_H-M 'P 63/m m c'
_symmetry_Int_Tables_number 194
_symmetry_space_group_name_Hall '-P 6c 2c'
loop_
_atom_site_label
_atom_site_fract_x
_atom_site_fract_y
_atom_site_fract_z
Gd1 0.0000 0.0000 0.0000
Pd1 0.3333 0.6667 0.2500
Pb1 0.3333 0.6667 0.7500
```

***

Record 6
GdPdPb | PBE | optimized geometry

Cell and atoms, written as CIF:
```
data_GdPdPb
_cell_length_a 7.300
_cell_length_b 4.795
_cell_length_c 8.090
_cell_angle_alpha 90.00
_cell_angle_beta 90.00
_cell_angle_gamma 90.00
_symmetry_space_group_name_H-M 'P n m a'
_symmetry_Int_Tables_number 62
loop_
_symmetry_equiv_pos_as_xyz
'x,y,z'
'-x,-y,-z'
'-x+1/2,-y,z+1/2'
'x+1/2,y,-z+1/2'
'x+1/2,-y+1/2,-z+1/2'
'-x+1/2,y+1/2,z+1/2'
'-x,y+1/2,-z'
'x,-y+1/2,z'
loop_
_atom_site_label
_atom_site_fract_x
_atom_site_fract_y
_atom_site_fract_z
Gd1 0.010 0.250 0.211
Pd1 0.211 0.750 0.422
Pb1 0.199 0.250 0.589
```

***

no.,raw total energy (eV/f.u.),size of the total moment (μB/f.u.)
1,-43.16,0.00
2,-9.04,0.15
3,-20.75,0.00
4,-14.65,0.00
5,-15.53,0.01
6,-15.61,0.00